1.
# Cd2HgBr2

An optimized crystal structure of Cd2HgBr2 (PBE-GGA, Alexandria).

```
data_Cd2HgBr2
_chemical_formula_sum 'Cd4 Hg2 Br4'
_space_group_name_H-M_alt 'P 4/m b m'
_space_group_IT_number 127
_space_group_name_Hall '-P 4 2ab'
_cell_length_a 9.189
_cell_length_b 9.189
_cell_length_c 4.088
_cell_angle_alpha 90.00
_cell_angle_beta 90.00
_cell_angle_gamma 90.00
loop_
_atom_site_label
_atom_site_type_symbol
_atom_site_fract_x
_atom_site_fract_y
_atom_site_fract_z
Cd1 Cd 0.103 0.397 0.000
Hg1 Hg 0.000 0.000 0.000
Br1 Br 0.243 0.257 0.500
```

Formation energy (no corrections)   -0.425 eV/atom
Crystal system   tetragonal



2.
# Cd2HgBr2

An optimized crystal structure of Cd2HgBr2 (PBE-GGA, Alexandria).

```
data_Cd2HgBr2
_chemical_formula_sum 'Cd4 Hg2 Br4'
_space_group_name_H-M_alt 'I 4/m m m'
_space_group_IT_number 139
_space_group_name_Hall '-I 4 2'
_cell_length_a 4.290
_cell_length_b 4.290
_cell_length_c 18.237
_cell_angle_alpha 90.00
_cell_angle_beta 90.00
_cell_angle_gamma 90.00
loop_
_atom_site_label
_atom_site_type_symbol
_atom_site_fract_x
_atom_site_fract_y
_atom_site_fract_z
Cd1 Cd 0.000 0.500 0.250
Hg1 Hg 0.000 0.000 0.000
Br1 Br 0.000 0.000 0.371
```

Formation energy (no corrections)   -0.137 eV/atom
Crystal system   tetragonal